No. 1
VASP calculation (PBE) on a geometry-optimized La3MgIn structure.

Lattice parameters (Å, degrees): 10.5131 10.5131 5.6151 90.00 90.00 148.93
Last column: nearest neighbours and their distance in Å.
Atoms (fractional coordinates):
La (0.0563, 0.9437, 0.7500)  2 Mg 3.42, 2 In 3.43, 4 La 3.62-3.71
La (0.2478, 0.7522, 0.7500)  4 In 3.39-3.45, 4 Mg 3.42-3.46
La (0.4371, 0.5629, 0.7500)  2 Mg 3.34, 2 In 3.36, 2 La 3.71
La (0.5629, 0.4371, 0.2500)  2 Mg 3.34, 2 In 3.36, 2 La 3.71
La (0.7522, 0.2478, 0.2500)  4 In 3.39-3.45, 4 Mg 3.42-3.46
La (0.9437, 0.0563, 0.2500)  2 Mg 3.42, 2 In 3.43, 4 La 3.62-3.71
Mg (0.3477, 0.6523, 0.2500)  8 La 3.34-3.46
Mg (0.6523, 0.3477, 0.7500)  8 La 3.34-3.46
In (0.1537, 0.8463, 0.2500)  8 La 3.36-3.45
In (0.8463, 0.1537, 0.7500)  8 La 3.36-3.45

E_tot   -4.070 eV/atom
Fermi-level density of states   11.50 states/eV/cell
Total magnetization   0.00 μB/f.u.
Calculated volume   320 Å³/cell


No. 2
VASP calculation (PBE) on a geometry-optimized Sm4Hg3Pd structure.

Lattice parameters (Å, degrees): 3.7313 3.7313 15.0178 90.00 90.00 90.00
Last column: nearest neighbours and their distance in Å.
Atoms (fractional coordinates):
Sm (0.0000, 0.0000, 0.1126)  4 Pd 3.13, 4 Hg 3.30, 1 Sm 3.38
Sm (0.0000, 0.0000, 0.3708)  8 Hg 3.25-3.27
Sm (0.0000, 0.0000, 0.6292)  8 Hg 3.25-3.27
Sm (0.0000, 0.0000, 0.8874)  4 Pd 3.13, 4 Hg 3.30, 1 Sm 3.38
Hg (0.5000, 0.5000, 0.2441)  8 Sm 3.25-3.30
Hg (0.5000, 0.5000, 0.5000)  8 Sm 3.27
Hg (0.5000, 0.5000, 0.7559)  8 Sm 3.25-3.30
Pd (0.5000, 0.5000, 0.0000)  8 Sm 3.13

E_tot   -3.675 eV/atom
Fermi-level density of states   6.60 states/eV/cell
Total magnetization   0.28 μB/f.u.
Calculated volume   209 Å³/cell


No. 3
VASP calculation (PBE) on a geometry-optimized TaNiSb2 structure.

Lattice parameters (Å, degrees): 3.0883 3.0883 9.1421 90.00 90.00 92.54
Last column: nearest neighbours and their distance in Å.
Atoms (fractional coordinates):
Ta (0.0000, 0.0000, 0.0000)  4 Ni 2.64-2.72
Ni (0.5000, 0.5000, 0.1708)  4 Ta 2.64-2.72, 4 Sb 2.69-2.76
Sb (0.0000, 0.0000, 0.3492)  4 Ni 2.69-2.76
Sb (0.5000, 0.5000, 0.7634)  4 Ta 3.04-3.11, 4 Sb 3.09

Fermi-level density of states   4.36 states/eV/cell
Total magnetization   0.00 μB/f.u.
Calculated volume   87 Å³/cell
E_form (uncorrected)   -17 meV/atom


No. 4
VASP calculation (PBE) on a geometry-optimized LaDyThZr structure.

Lattice parameters (Å, degrees): 5.5431 5.5431 5.5431 60.00 60.00 60.00
Last column: nearest neighbours and their distance in Å.
Atoms (fractional coordinates):
La (0.0000, 0.0000, 0.0000)  4 Zr 3.39, 4 Dy 3.39
Dy (0.2500, 0.2500, 0.2500)  4 La 3.39, 4 Th 3.39
Th (0.5000, 0.5000, 0.5000)  4 Zr 3.39, 4 Dy 3.39
Zr (0.7500, 0.7500, 0.7500)  4 La 3.39, 4 Th 3.39

E_tot   -6.211 eV/atom
Fermi-level density of states   4.87 states/eV/cell
Total magnetization   0.00 μB/f.u.
Calculated volume   120 Å³/cell


No. 5
VASP calculation (PBE) on a geometry-optimized FeRhW2 structure.

Lattice parameters (Å, degrees): 4.6841 4.6841 4.8022 98.96 98.96 33.86
Last column: nearest neighbours and their distance in Å.
Atoms (fractional coordinates):
Fe (0.0000, 0.0000, 0.0000)  7 W 2.63-2.79, 3 Rh 2.72-2.81, 2 Fe 2.73
Rh (0.7436, 0.7436, 0.2691)  7 W 2.64-2.85, 3 Fe 2.72-2.81, 2 Rh 2.73
W (0.2533, 0.2533, 0.7918)  3 Fe 2.63-2.65, 4 Rh 2.68-2.85, 5 W 2.73-2.88
W (0.4932, 0.4932, 0.4923)  3 Rh 2.64-2.69, 5 W 2.73-2.88, 4 Fe 2.74-2.79

E_tot   -10.344 eV/atom
Fermi-level density of states   3.99 states/eV/cell
Total magnetization   1.52 μB/f.u.
Calculated volume   58 Å³/cell


No. 6
VASP calculation (PBE) on a geometry-optimized YCu2Si structure.

Lattice parameters (Å, degrees): 5.4214 5.4214 5.4214 43.93 43.93 43.93
Last column: nearest neighbours and their distance in Å.
Atoms (fractional coordinates):
Y (0.0000, 0.0000, 0.0000)  7 Cu 3.00-3.28, 4 Si 3.00-3.01
Cu (0.2042, 0.2042, 0.2042)  3 Cu 2.44, 3 Si 2.59
Cu (0.4903, 0.4903, 0.4903)  3 Si 2.38, 3 Cu 2.44
Si (0.7952, 0.7952, 0.7952)  6 Cu 2.38-2.59

Fermi-level density of states   2.99 states/eV/cell
Total magnetization   0.00 μB/f.u.
Calculated volume   70 Å³/cell
E_form (uncorrected)   -393 meV/atom


No. 7
VASP calculation (PBE) on a geometry-optimized BaTiTeIr2 structure.

Lattice parameters (Å, degrees): 5.1130 5.1130 5.0647 90.00 90.00 90.00
Last column: nearest neighbours and their distance in Å.
Atoms (fractional coordinates):
Ba (0.0000, 0.0000, 0.0000)  2 Ti 2.53, 4 Ir 2.56
Ti (0.0000, 0.0000, 0.5000)  2 Ba 2.53
Te (0.5000, 0.5000, 0.5000)  8 Ir 3.60, 4 Ti 3.62
Ir (0.0000, 0.5000, 0.0000)  2 Ba 2.56
Ir (0.5000, 0.0000, 0.0000)  2 Ba 2.56

Fermi-level density of states   6.84 states/eV/cell
Total magnetization   0.01 μB/f.u.
Calculated volume   132 Å³/cell
E_form (uncorrected)   2212 meV/atom


No. 8
VASP calculation (PBE) on a geometry-optimized La4GaRh4 structure.

Lattice parameters (Å, degrees): 8.7704 8.7704 5.6109 90.00 90.00 90.00
Last column: nearest neighbours and their distance in Å.
Atoms (fractional coordinates):
La (0.0350, 0.6861, 0.1079)  3 Rh 2.80-2.97
La (0.1861, 0.9650, 0.6079)  3 Rh 2.80-2.97
La (0.3139, 0.5350, 0.6079)  3 Rh 2.80-2.97
La (0.4650, 0.8139, 0.1079)  3 Rh 2.80-2.97
La (0.5350, 0.1861, 0.8921)  3 Rh 2.80-2.97
La (0.6861, 0.4650, 0.3921)  3 Rh 2.80-2.97
La (0.8139, 0.0350, 0.3921)  3 Rh 2.80-2.97
La (0.9650, 0.3139, 0.8921)  3 Rh 2.80-2.97
Ga (0.2500, 0.2500, 0.2500)  4 Rh 2.48
Ga (0.7500, 0.7500, 0.7500)  4 Rh 2.48
Rh (0.0055, 0.3540, 0.4014)  1 Ga 2.48
Rh (0.1460, 0.0055, 0.0986)  1 Ga 2.48
Rh (0.3540, 0.4945, 0.0986)  1 Ga 2.48
Rh (0.4945, 0.1460, 0.4014)  1 Ga 2.48
Rh (0.5055, 0.8540, 0.5986)  1 Ga 2.48
Rh (0.6460, 0.5055, 0.9014)  1 Ga 2.48
Rh (0.8540, 0.9945, 0.9014)  1 Ga 2.48
Rh (0.9945, 0.6460, 0.5986)  1 Ga 2.48

E_tot   -6.494 eV/atom
Fermi-level density of states   12.20 states/eV/cell
Total magnetization   0.00 μB/f.u.
Calculated volume   432 Å³/cell


No. 9
VASP calculation (PBE) on a geometry-optimized Cr2FeReN structure.

Lattice parameters (Å, degrees): 3.8319 3.8319 3.7261 90.00 90.00 90.00
Last column: nearest neighbours and their distance in Å.
Atoms (fractional coordinates):
Cr (0.0000, 0.5000, 0.0000)  2 N 1.92
Cr (0.5000, 0.0000, 0.0000)  2 N 1.92
Fe (0.0000, 0.0000, 0.5000)  2 N 1.86
Re (0.5000, 0.5000, 0.5000)  8 Cr 2.67, 4 Fe 2.71
N (0.0000, 0.0000, 0.0000)  2 Fe 1.86, 4 Cr 1.92

Fermi-level density of states   3.20 states/eV/cell
Total magnetization   0.02 μB/f.u.
Calculated volume   55 Å³/cell
E_form (uncorrected)   -103 meV/atom


No. 10
VASP calculation (PBE) on a geometry-optimized AcTbYEr2 structure.

Lattice parameters (Å, degrees): 6.3657 5.8025 9.7153 90.00 108.60 90.00
Last column: nearest neighbours and their distance in Å.
Atoms (fractional coordinates):
Ac (0.0690, 0.2500, 0.3023)  4 Tb 3.60-3.68, 3 Y 3.62-3.68, 5 Er 3.63-3.74
Ac (0.9310, 0.7500, 0.6977)  4 Tb 3.60-3.68, 3 Y 3.62-3.68, 5 Er 3.63-3.74
Tb (0.3383, 0.7500, 0.5009)  2 Tb 3.56, 4 Ac 3.60-3.68, 5 Er 3.62-3.80, 1 Y 3.72
Tb (0.6617, 0.2500, 0.4991)  2 Tb 3.56, 4 Ac 3.60-3.68, 5 Er 3.62-3.80, 1 Y 3.72
Y (0.1359, 0.7500, 0.0974)  6 Er 3.58-3.70, 2 Y 3.59, 3 Ac 3.62-3.68, 1 Tb 3.72
Y (0.8641, 0.2500, 0.9026)  6 Er 3.58-3.70, 2 Y 3.59, 3 Ac 3.62-3.68, 1 Tb 3.72
Er (0.2782, 0.2500, 0.7086)  3 Er 3.56-3.57, 2 Y 3.60-3.70, 4 Tb 3.62-3.80, 3 Ac 3.63-3.74
Er (0.4656, 0.2500, 0.0954)  5 Er 3.54-3.57, 4 Y 3.58-3.69, 2 Ac 3.69-3.72, 1 Tb 3.72
Er (0.5344, 0.7500, 0.9046)  5 Er 3.54-3.57, 4 Y 3.58-3.69, 2 Ac 3.69-3.72, 1 Tb 3.72
Er (0.7218, 0.7500, 0.2914)  3 Er 3.56-3.57, 2 Y 3.60-3.70, 4 Tb 3.62-3.80, 3 Ac 3.63-3.74

E_tot   -4.822 eV/atom
Fermi-level density of states   18.19 states/eV/cell
Total magnetization   0.00 μB/f.u.
Calculated volume   340 Å³/cell


No. 11
VASP calculation (PBE) on a geometry-optimized MgCoRu2 structure.

Lattice parameters (Å, degrees): 2.7228 4.2726 4.9449 90.00 100.27 90.00
Last column: nearest neighbours and their distance in Å.
Atoms (fractional coordinates):
Mg (0.0000, 0.0000, 0.0000)  2 Co 2.60, 4 Ru 2.72, 2 Mg 2.72
Co (0.5000, 0.0000, 0.5000)  4 Ru 2.53, 2 Mg 2.60, 2 Co 2.72
Ru (0.3121, 0.5000, 0.7367)  2 Co 2.53, 5 Ru 2.62-2.72, 2 Mg 2.72
Ru (0.6879, 0.5000, 0.2633)  2 Co 2.53, 5 Ru 2.62-2.72, 2 Mg 2.72

E_tot   -6.567 eV/atom
Fermi-level density of states   5.66 states/eV/cell
Total magnetization   2.71 μB/f.u.
Calculated volume   57 Å³/cell


No. 12
VASP calculation (PBE) on a geometry-optimized LaNd4Sc structure.

Lattice parameters (Å, degrees): 6.2806 6.2806 6.2470 99.66 99.66 120.05
Last column: nearest neighbours and their distance in Å.
Atoms (fractional coordinates):
La (0.0000, 0.0000, 0.0000)  10 Nd 3.60-3.67, 2 Sc 3.61
Nd (0.1676, 0.8324, 0.5000)  7 Nd 3.61-3.65, 3 Sc 3.62-3.63, 2 La 3.62
Nd (0.3372, 0.6628, 0.0000)  7 Nd 3.54-3.67, 2 Sc 3.59, 3 La 3.60-3.67
Nd (0.6628, 0.3372, 0.0000)  7 Nd 3.54-3.67, 2 Sc 3.59, 3 La 3.60-3.67
Nd (0.8324, 0.1676, 0.5000)  7 Nd 3.61-3.65, 3 Sc 3.62-3.63, 2 La 3.62
Sc (0.5000, 0.5000, 0.5000)  10 Nd 3.59-3.63, 2 La 3.61

E_tot   -5.016 eV/atom
Fermi-level density of states   8.82 states/eV/cell
Total magnetization   0.00 μB/f.u.
Calculated volume   201 Å³/cell


No. 13
VASP calculation (PBE) on a geometry-optimized Ce2ScGa3Au4 structure.

Lattice parameters (Å, degrees): 4.3528 4.3528 11.3633 90.00 90.00 90.00
Last column: nearest neighbours and their distance in Å.
Atoms (fractional coordinates):
Ce (0.0000, 0.5000, 0.2296)  4 Ga 3.28, 8 Au 3.38-3.40
Ce (0.5000, 0.0000, 0.7704)  4 Ga 3.28, 8 Au 3.38-3.40
Sc (0.0000, 0.0000, 0.5000)  4 Au 2.75
Ga (0.0000, 0.5000, 0.8695)  5 Au 2.52-2.63
Ga (0.5000, 0.0000, 0.1305)  5 Au 2.52-2.63
Ga (0.5000, 0.5000, 0.5000)  4 Au 2.75
Au (0.0000, 0.0000, 0.0000)  4 Ga 2.63
Au (0.0000, 0.5000, 0.6473)  3 Ga 2.52-2.75, 2 Sc 2.75
Au (0.5000, 0.0000, 0.3527)  3 Ga 2.52-2.75, 2 Sc 2.75
Au (0.5000, 0.5000, 0.0000)  4 Ga 2.63

E_tot   -4.650 eV/atom
Fermi-level density of states   17.55 states/eV/cell
Total magnetization   2.29 μB/f.u.
Calculated volume   215 Å³/cell


No. 14
VASP calculation (PBE) on a geometry-optimized Li2CdIr structure.

Lattice parameters (Å, degrees): 4.7234 4.7234 4.7234 130.15 130.15 73.17
Last column: nearest neighbours and their distance in Å.
Atoms (fractional coordinates):
Li (0.2500, 0.7500, 0.5000)  4 Cd 2.75, 4 Ir 2.75, 4 Li 2.82
Li (0.7500, 0.2500, 0.5000)  4 Cd 2.75, 4 Ir 2.75, 4 Li 2.82
Cd (0.0000, 0.0000, 0.0000)  8 Li 2.75, 4 Ir 2.82
Ir (0.5000, 0.5000, 0.0000)  8 Li 2.75, 4 Cd 2.82

E_tot   -3.488 eV/atom
Fermi-level density of states   1.62 states/eV/cell
Total magnetization   0.00 μB/f.u.
Calculated volume   60 Å³/cell


No. 15
VASP calculation (PBE) on a geometry-optimized PmPaNi2 structure.

Lattice parameters (Å, degrees): 3.4382 3.4382 6.8818 90.00 90.00 90.00
Last column: nearest neighbours and their distance in Å.
Atoms (fractional coordinates):
Pm (0.0000, 0.0000, 0.0000)  8 Ni 3.22, 4 Pm 3.44, 2 Pa 3.44
Pa (0.0000, 0.0000, 0.5000)  8 Ni 2.77
Ni (0.5000, 0.5000, 0.3058)  1 Ni 2.67, 4 Pa 2.77
Ni (0.5000, 0.5000, 0.6942)  1 Ni 2.67, 4 Pa 2.77

E_tot   -6.722 eV/atom
Fermi-level density of states   4.72 states/eV/cell
Total magnetization   0.00 μB/f.u.
Calculated volume   81 Å³/cell


No. 16
VASP calculation (PBE) on a geometry-optimized BeNiSe2 structure.

Lattice parameters (Å, degrees): 3.0178 3.1001 6.3439 90.00 90.00 90.00
Last column: nearest neighbours and their distance in Å.
Atoms (fractional coordinates):
Be (0.0000, 0.0000, 0.0000)  8 Se 2.66
Ni (0.0000, 0.0000, 0.5000)  8 Se 2.70, 2 Ni 3.02
Se (0.5000, 0.5000, 0.2448)  4 Be 2.66, 4 Ni 2.70
Se (0.5000, 0.5000, 0.7552)  4 Be 2.66, 4 Ni 2.70

Fermi-level density of states   3.17 states/eV/cell
Total magnetization   0.00 μB/f.u.
Calculated volume   59 Å³/cell
E_form (uncorrected)   390 meV/atom


No. 17
VASP calculation (PBE) on a geometry-optimized K2HgW2 structure.

Lattice parameters (Å, degrees): 12.0537 12.0537 12.0537 162.78 162.78 24.44
Last column: nearest neighbours and their distance in Å.
Atoms (fractional coordinates):
K (0.1137, 0.1137, 0.0000)  4 K 3.61, 4 W 3.68, 4 Hg 3.70
K (0.8863, 0.8863, 0.0000)  4 K 3.61, 4 W 3.68, 4 Hg 3.70
Hg (0.5000, 0.5000, 0.0000)  4 Hg 3.61, 8 K 3.70
W (0.2500, 0.7500, 0.5000)  4 W 2.55
W (0.7500, 0.2500, 0.5000)  4 W 2.55

E_tot   -4.821 eV/atom
Fermi-level density of states   5.30 states/eV/cell
Total magnetization   0.12 μB/f.u.
Calculated volume   153 Å³/cell


No. 18
VASP calculation (PBE) on a geometry-optimized RbNpO3 structure.

Lattice parameters (Å, degrees): 4.3285 4.3285 4.3285 90.00 90.00 90.00
Last column: nearest neighbours and their distance in Å.
Atoms (fractional coordinates):
Rb (0.0000, 0.0000, 0.0000)  12 O 3.06
Np (0.5000, 0.5000, 0.5000)  6 O 2.16
O (0.0000, 0.5000, 0.5000)  2 Np 2.16
O (0.5000, 0.0000, 0.5000)  2 Np 2.16
O (0.5000, 0.5000, 0.0000)  2 Np 2.16

Fermi-level density of states   4.22 states/eV/cell
Total magnetization   2.00 μB/f.u.
Calculated volume   81 Å³/cell
E_form (uncorrected)   -2653 meV/atom


No. 19
VASP calculation (PBE) on a geometry-optimized MnZnSi2 structure.

Lattice parameters (Å, degrees): 4.3098 4.3098 4.3098 60.00 60.00 60.00
Last column: nearest neighbours and their distance in Å.
Atoms (fractional coordinates):
Mn (0.0000, 0.0000, 0.0000)  4 Si 2.64, 4 Zn 2.64
Zn (0.2500, 0.2500, 0.2500)  4 Mn 2.64, 4 Si 2.64
Si (0.5000, 0.5000, 0.5000)  4 Zn 2.64, 4 Si 2.64
Si (0.7500, 0.7500, 0.7500)  4 Mn 2.64, 4 Si 2.64

Fermi-level density of states   3.51 states/eV/cell
Total magnetization   2.78 μB/f.u.
Calculated volume   57 Å³/cell
E_form (uncorrected)   396 meV/atom


No. 20
VASP calculation (PBE) on a geometry-optimized Pa2Si6TcRh structure.

Lattice parameters (Å, degrees): 12.2533 12.2533 12.2533 27.24 27.24 27.24
Last column: nearest neighbours and their distance in Å.
Atoms (fractional coordinates):
Pa (0.1355, 0.1355, 0.1355)  12 Si 2.93-3.09
Pa (0.2847, 0.2847, 0.2847)  1 Rh 2.64, 9 Si 2.94-2.95
Pa (0.7153, 0.7153, 0.7153)  1 Rh 2.64, 9 Si 2.94-2.95
Pa (0.8645, 0.8645, 0.8645)  12 Si 2.93-3.09
Si (0.0805, 0.6412, 0.6412)  1 Tc 2.47, 2 Si 2.53
Si (0.2048, 0.2048, 0.7792)  1 Rh 2.31, 2 Si 2.46
Si (0.2048, 0.7792, 0.2048)  1 Rh 2.31, 2 Si 2.46
Si (0.2208, 0.7952, 0.7952)  1 Rh 2.31, 2 Si 2.46
Si (0.3588, 0.3588, 0.9195)  1 Tc 2.47, 2 Si 2.53
Si (0.3588, 0.9195, 0.3588)  1 Tc 2.47, 2 Si 2.53
Si (0.6412, 0.0805, 0.6412)  1 Tc 2.47, 2 Si 2.53
Si (0.6412, 0.6412, 0.0805)  1 Tc 2.47, 2 Si 2.53
Si (0.7792, 0.2048, 0.2048)  1 Rh 2.31, 2 Si 2.46
Si (0.7952, 0.2208, 0.7952)  1 Rh 2.31, 2 Si 2.46
Si (0.7952, 0.7952, 0.2208)  1 Rh 2.31, 2 Si 2.46
Si (0.9195, 0.3588, 0.3588)  1 Tc 2.47, 2 Si 2.53
Tc (0.0000, 0.0000, 0.0000)  6 Si 2.64
Tc (0.5000, 0.5000, 0.5000)  6 Si 2.47
Rh (0.3594, 0.3594, 0.3594)  3 Si 2.31
Rh (0.6406, 0.6406, 0.6406)  3 Si 2.31

Fermi-level density of states   13.33 states/eV/cell
Total magnetization   0.00 μB/f.u.
Calculated volume   340 Å³/cell
E_form (uncorrected)   -426 meV/atom